No. 1
{
  "formula": "TaAgAu3",
  "functional": "PBE",
  "state": "optimized geometry",
  "lattice_angstrom": [[-3.7031, -3.1675, -1.5796], [3.2784, -2.2077, -3.2587], [1.3342, -3.3666, 3.6231]],
  "species": ["Ag", "Ta", "Au", "Au", "Au"],
  "fractional_positions": [[0.5000, 0.5000, 0.5000], [0.0000, 0.0000, 0.0000], [0.0000, 0.5000, 0.0000], [0.0000, 0.0000, 0.5000], [0.5000, 0.0000, 0.0000]],
  "relative_energy_mev_per_atom": 0,
  "formation_enthalpy_0k_ev_per_atom": 0.94,
  "sg": "No. 221"
}


No. 2
{
  "formula": "Tc3TeW",
  "functional": "PBE",
  "state": "optimized geometry",
  "lattice_angstrom": [[4.7479, 0.0000, 0.0000], [0.0000, 4.7479, 0.0000], [0.0000, 0.0000, 4.7479]],
  "species": ["W", "Tc", "Tc", "Te", "Tc"],
  "fractional_positions": [[0.0000, 0.0000, 0.0000], [0.0000, 0.0000, 0.5000], [0.5000, 0.0000, 0.0000], [0.5000, 0.5000, 0.5000], [0.0000, 0.5000, 0.0000]],
  "relative_energy_mev_per_atom": 0,
  "raw_formation_energy_ev_per_atom": 1.664,
  "sg": "No. 221"
}


No. 3
{
  "formula": "CsInCu2Te",
  "functional": "PBE",
  "state": "optimized geometry",
  "lattice_angstrom": [[-5.0548, 1.2664, 0.1785], [-1.0993, -3.7441, -4.5656], [-0.8514, -3.8752, 3.3829]],
  "species": ["Te", "In", "Cs", "Cu", "Cu"],
  "fractional_positions": [[0.0000, 0.5000, 0.0000], [0.0000, 0.0000, 0.0000], [0.5000, 0.5000, 0.5000], [0.0000, 0.0000, 0.5000], [0.5000, 0.0000, 0.0000]],
  "relative_energy_mev_per_atom": 0,
  "raw_formation_energy_ev_per_atom": 0.222,
  "sg": "No. 123"
}


No. 4
{
  "formula": "Sc2CuPb",
  "functional": "PBE",
  "state": "optimized geometry",
  "lattice_angstrom": [[-4.1117, 0.9370, 1.1691], [-1.1948, -1.9238, -2.6602], [-0.6874, -5.5143, 2.0023]],
  "species": ["Sc", "Pb", "Sc", "Cu"],
  "fractional_positions": [[0.0000, 0.9534, 0.9683], [0.5000, 0.5535, 0.7678], [0.5000, 0.2800, 0.3151], [0.0000, 0.7131, 0.4487]],
  "formation_enthalpy_0k_ev_per_atom": -0.25,
  "sg": "No. 38"
}


No. 5
{
  "formula": "SrSnTe2I",
  "functional": "PBE",
  "state": "optimized geometry",
  "lattice_angstrom": [[-5.0877, -2.2927, -1.6011], [0.3866, -3.8687, 4.3115], [-2.8287, 3.7501, 3.6186]],
  "species": ["I", "Sn", "Te", "Te", "Sr"],
  "fractional_positions": [[0.0000, 0.0000, 0.5000], [0.0000, 0.0000, 0.0000], [0.5000, 0.0000, 0.0000], [0.0000, 0.5000, 0.0000], [0.5000, 0.5000, 0.5000]],
  "relative_energy_mev_per_atom": 0,
  "raw_formation_energy_ev_per_atom": -0.545,
  "sg": "No. 123"
}


No. 6
{
  "formula": "AlCoW2",
  "functional": "PBE",
  "state": "optimized geometry",
  "lattice_angstrom": [[-4.2062, 7.8012, 1.1977], [-5.8613, 6.7134, -0.7477], [-6.2638, 6.0859, 1.9265]],
  "species": ["W", "Co", "Al", "W"],
  "fractional_positions": [[0.0041, 0.0041, 0.0041], [0.7500, 0.7500, 0.7500], [0.2500, 0.2500, 0.2500], [0.4959, 0.4959, 0.4959]],
  "formation_enthalpy_0k_ev_per_atom": 0.18,
  "sg": "No. 166"
}


No. 7
{
  "formula": "Cr2WCl",
  "functional": "PBE",
  "state": "optimized geometry",
  "lattice_angstrom": [[2.9202, 0.0000, 0.0000], [0.0000, 4.6066, 0.0000], [0.0000, 0.0000, 4.2363]],
  "species": ["Cr", "W", "Cl", "Cr"],
  "fractional_positions": [[0.0000, 0.0000, 0.0000], [0.5000, 0.0000, 0.5000], [0.0000, 0.5000, 0.5000], [0.5000, 0.5000, 0.0000]],
  "relative_energy_mev_per_atom": 626,
  "raw_formation_energy_ev_per_atom": 0.859,
  "sg": "No. 47"
}


No. 8
{
  "formula": "CaWC2",
  "functional": "PBE",
  "state": "optimized geometry",
  "lattice_angstrom": [[3.1748, 0.0000, 0.0000], [1.5874, 2.7495, 0.0000], [1.5874, 0.9165, 5.7587]],
  "species": ["W", "C", "Ca", "C"],
  "fractional_positions": [[0.0000, 0.0000, 0.0000], [0.7346, 0.7346, 0.7963], [0.5000, 0.5000, 0.5000], [0.2654, 0.2654, 0.2037]],
  "relative_energy_mev_per_atom": 0,
  "formation_enthalpy_0k_ev_per_atom": 0.20,
  "sg": "No. 166"
}